Entry 1:
Material: LiCo2Cu
Method: DFT, PBEsol
State: optimized geometry

* theoretical density: 7.3 g cm⁻³

Cell: 2.425 4.216 4.408 Å, 108.48 90.00 90.00°
Atoms (fractional coordinates):
Co 0.000 0.000 0.000
Co 0.500 0.500 0.000
Cu 0.500 0.000 0.500
Li 0.000 0.500 0.500

---

Entry 2:
Material: Sc2CuAu
Method: DFT, PBEsol
State: optimized geometry

* relative energy among the computed polymorphs: 0.0 meV per atom
* theoretical density: 8.2 g cm⁻³

Cell: 4.654 4.654 4.654 Å, 60.00 60.00 60.00°
Atoms (fractional coordinates):
Sc 0.250 0.250 0.250
Sc 0.750 0.750 0.750
Au 0.500 0.500 0.500
Cu 0.000 0.000 0.000

---

Entry 3:
Material: Co2SiNi
Method: DFT, PBEsol
State: optimized geometry

* formation energy (no corrections): -382 meV/atom
* theoretical density: 8.2 g cm⁻³

Cell: 3.503 3.503 4.178 Å, 114.78 114.78 90.00°
Atoms (fractional coordinates):
Ni 0.500 0.500 0.000
Si 0.250 0.750 0.500
Co 0.000 0.000 0.000
Co 0.750 0.250 0.500

---

no.,electronic total energy (eV per atom)
1,-5.3036
2,-5.9158
3,-7.2262